1.
A plane-wave DFT calculation with GGA-PBE was carried out for a relaxed structure of La4Pr8Er.

a = 11.9557 Å, b = 11.9557 Å, c = 11.9097 Å
α = 90.00°, β = 90.00°, γ = 120.00°
Space group R-3m (No. 166, hexagonal axes)
Asymmetric unit:
La  0.0000  0.0000  0.0000 [3 per cell]
La  0.0000  0.5000  0.0000 [9 per cell]
Pr  0.0000  0.0000  0.2398 [6 per cell]
Pr  0.0020  0.5010  0.6658 [18 per cell]
Er  0.0000  0.0000  0.5000 [3 per cell]

- M_tot: 0.0 μB per cell
- Calculated formation energy: 0.356 eV per atom

=====

2.
A plane-wave DFT calculation with GGA-PBE was carried out for a relaxed structure of LaPr2Er4.

a = 6.7996 Å, b = 12.0832 Å, c = 11.5422 Å
α = 90.00°, β = 90.00°, γ = 90.00°
Space group Cmcm (No. 63)
Asymmetric unit:
La  0.0000  0.1184  0.2500 [4 per cell]
Pr  0.0000  0.1712  0.7500 [4 per cell]
Pr  0.0000  0.4832  0.7500 [4 per cell]
Er  0.0000  0.2789  0.0231 [8 per cell]
Er  0.2209  0.0000  0.0000 [8 per cell]

- M_tot: 0.0 μB per cell
- Calculated formation energy: 0.188 eV per atom
- Distance to the lowest polymorph of the same formula: 0.000 eV per formula unit

=====

3.
A plane-wave DFT calculation with GGA-PBE was carried out for a relaxed structure of La6PrEr2.

a = 9.5264 Å, b = 17.9905 Å, c = 3.7073 Å
α = 90.00°, β = 90.00°, γ = 90.00°
Space group Cmmm (No. 65)
Asymmetric unit:
La  0.1734  0.0000  0.0000 [4 per cell]
La  0.1730  0.1661  0.5000 [8 per cell]
Pr  0.0000  0.5000  0.5000 [2 per cell]
Er  0.0000  0.3223  0.0000 [4 per cell]

- M_tot: 0.0 μB per cell
- Calculated formation energy: 0.114 eV per atom

=====

Which value of calculated formation energy does entry 3 give? 0.114 eV per atom

=====

What did the first record say?
A plane-wave DFT calculation with GGA-PBE was carried out for a relaxed structure of La4Pr8Er.

a = 11.9557 Å, b = 11.9557 Å, c = 11.9097 Å
α = 90.00°, β = 90.00°, γ = 120.00°
Space group R-3m (No. 166, hexagonal axes)
Asymmetric unit:
La  0.0000  0.0000  0.0000 [3 per cell]
La  0.0000  0.5000  0.0000 [9 per cell]
Pr  0.0000  0.0000  0.2398 [6 per cell]
Pr  0.0020  0.5010  0.6658 [18 per cell]
Er  0.0000  0.0000  0.5000 [3 per cell]

- M_tot: 0.0 μB per cell
- Calculated formation energy: 0.356 eV per atom